This record from the Alexandria database describes Pr2ZnHg8 after structural relaxation. The functional is PBE.

Lattice parameters (Å, degrees): 4.7251 4.7251 12.5819 90.00 90.00 90.00
With the nearest neighbours (Å) after each atom.
Fractional coordinates of all 11 atoms:
Hg: 0.0000 0.5000 0.5000  8 Hg 3.34-3.35, 4 Pr 3.40
Hg: 0.0000 0.5000 0.1256  2 Zn 2.84, 1 Hg 3.16
Hg: 0.5000 0.5000 0.3118  8 Hg 3.33-3.35, 4 Pr 3.34
Hg: 0.5000 0.0000 0.8744  2 Zn 2.84, 1 Hg 3.16
Hg: 0.5000 0.0000 0.1256  2 Zn 2.84, 1 Hg 3.16
Hg: 0.5000 0.0000 0.5000  8 Hg 3.34-3.35, 4 Pr 3.40
Hg: 0.5000 0.5000 0.6882  8 Hg 3.33-3.35, 4 Pr 3.34
Hg: 0.0000 0.5000 0.8744  2 Zn 2.84, 1 Hg 3.16
Pr: 0.0000 0.0000 0.3054  12 Hg 3.27-3.40
Pr: 0.0000 0.0000 0.6946  12 Hg 3.27-3.40
Zn: 0.0000 0.0000 0.0000  8 Hg 2.84

Its crystal system is tetragonal. As for the total DFT energy (no corrections): -16.21 eV per cell.